(1)
BaRePb2: PBEsol geometry, SCAN.

* E: -65.223 eV per atom
* energy of formation: 0.33 eV/atom
* DOS(E_F): 2.46 states/eV/f.u.
* energy above the lowest structure with this stoichiometry: 0.0 meV per atom
* M_tot: 0.000 μB per cell

Cell: 4.6316 4.6316 6.7018 Å, 69.78 69.78 60.00°
Positions (direct):
Pb1 0.7171 0.7171 0.8486
Pb2 0.2829 0.2829 0.1514
Re1 0.0000 0.0000 0.0000
Ba1 0.5000 0.5000 0.5000

---

(2)
AgPt2: PBEsol geometry, SCAN.

* E: -57.206 eV per atom
* energy of formation: 0.05 eV/atom
* DOS(E_F): 3.34 states/eV/f.u.
* energy above the lowest structure with this stoichiometry: 47.2 meV per atom
* M_tot: 0.166 μB per cell

Cell: 2.7414 2.7414 6.4461 Å, 102.28 102.28 90.00°
Positions (direct):
Pt1 0.1698 0.1698 0.3397
Pt2 0.8302 0.8302 0.6603
Ag1 0.5000 0.5000 0.0000

---

(3)
Zr2CdRu: PBEsol geometry, SCAN.

* E: -31.925 eV per atom
* energy of formation: -0.27 eV/atom
* DOS(E_F): 2.81 states/eV/f.u.
* M_tot: 0.000 μB per cell

Cell: 3.2881 4.6834 5.7152 Å, 114.19 106.72 90.00°
Positions (direct):
Cd1 0.4743 0.4743 0.9486
Ru1 0.7413 0.2413 0.4825
Zr1 0.2533 0.7533 0.5066
Zr2 0.0311 0.0311 0.0623

---

(4)
Li5Mg3: PBEsol geometry, SCAN.

* E: -3.396 eV per atom
* energy of formation: -0.04 eV/atom
* DOS(E_F): 3.56 states/eV/f.u.
* energy above the lowest structure with this stoichiometry: 0.0 meV per atom
* M_tot: 0.095 μB per cell

Cell: 4.8428 5.8873 5.8873 Å, 110.25 90.00 90.00°
Positions (direct):
Li1 0.5000 0.2389 0.2389
Li2 0.0000 0.0000 0.0000
Li3 0.0000 0.0000 0.5000
Li4 0.0000 0.5000 0.0000
Li5 0.5000 0.7611 0.7611
Mg1 0.5000 0.2584 0.7416
Mg2 0.0000 0.5000 0.5000
Mg3 0.5000 0.7416 0.2584

---

(5)
Si2SeBr: PBEsol geometry, SCAN.

* E: -14.332 eV per atom
* formation energy from raw total energies: 0.56 eV/atom
* DOS(E_F): 1.11 states/eV/f.u.
* energy above the lowest structure with this stoichiometry: 15.9 meV per atom
* M_tot: 0.000 μB per cell

Cell: 3.5945 5.2739 5.2739 Å, 69.49 70.08 70.08°
Positions (direct):
Si1 0.2702 0.7298 0.7298
Si2 0.7298 0.2702 0.2702
Br1 0.5000 0.0000 0.0000
Se1 0.0000 0.5000 0.5000

---

(6)
Zn4CoP: PBEsol geometry, SCAN.

* E: -13.224 eV per atom
* energy of formation: 0.40 eV/atom
* DOS(E_F): 1.54 states/eV/f.u.
* M_tot: 0.001 μB per cell

Cell: 4.8594 4.8594 4.8594 Å, 60.00 60.00 60.00°
Positions (direct):
Co1 0.7500 0.7500 0.7500
P1 0.0000 0.0000 0.0000
Zn1 0.3757 0.3757 0.8729
Zn2 0.3757 0.3757 0.3757
Zn3 0.8729 0.3757 0.3757
Zn4 0.3757 0.8729 0.3757

---

(7)
Ca2LaTe: PBEsol geometry, SCAN.

* E: -25.495 eV per atom
* formation energy from raw total energies: -0.57 eV/atom
* DOS(E_F): 2.86 states/eV/f.u.
* M_tot: 0.000 μB per cell

Cell: 4.6838 4.6838 6.7743 Å, 110.22 110.22 90.00°
Positions (direct):
La1 0.5000 0.5000 0.0000
Ca1 0.7500 0.2500 0.5000
Ca2 0.2500 0.7500 0.5000
Te1 0.0000 0.0000 0.0000

---

(8)
Ca4NiBr: PBEsol geometry, SCAN.

* E: -11.844 eV per atom
* formation energy from raw total energies: 0.54 eV/atom
* DOS(E_F): 7.08 states/eV/f.u.
* M_tot: 0.835 μB per cell

Cell: 6.5543 6.5543 6.5543 Å, 60.00 60.00 60.00°
Positions (direct):
Br1 0.0000 0.0000 0.0000
Ca1 0.3759 0.3759 0.8723
Ca2 0.8723 0.3759 0.3759
Ca3 0.3759 0.3759 0.3759
Ca4 0.3759 0.8723 0.3759
Ni1 0.7500 0.7500 0.7500